Entry from Alexandria: crystalline CoCuB at its relaxed geometry (PBE).

a = 3.317 Å, b = 3.317 Å, c = 7.397 Å
α = 116.62°, β = 116.62°, γ = 59.99°
Sites, in units of the cell vectors:
1 Co 0.083 0.083 0.874
2 Cu 0.250 0.250 0.625
3 B 0.696 0.696 0.793
4 Co 0.917 0.917 0.126
5 Cu 0.750 0.750 0.375
6 B 0.304 0.304 0.207

The calculation puts the formation energy from the elements at 0.0338 eV/atom. The space-group type is R-3m, No. 166. As for the final energy: -5.926 eV/atom.

Entry from Alexandria: crystalline Co2Cu2B at its relaxed geometry (PBE).

a = 3.071 Å, b = 3.071 Å, c = 6.779 Å
α = 76.91°, β = 76.91°, γ = 90.00°
Last column: magnetic moment on the atom in μB.
Sites, in units of the cell vectors:
1 Co 0.750 0.250 0.500  1.61
2 Co 0.250 0.750 0.500  1.61
3 Cu 0.410 0.410 0.180  0.03
4 Cu 0.590 0.590 0.820  0.03
5 B 0.000 0.000 0.000  0.01

The calculation puts the formation energy from the elements at 0.9040 eV/atom. The space-group type is I4/mmm, No. 139. As for the final energy: -4.912 eV/atom. Its energy above the lowest structure with this stoichiometry is 777.2 meV per atom.

Entry from Alexandria: crystalline CoCu2B at its relaxed geometry (PBE).

a = 3.192 Å, b = 3.192 Å, c = 8.732 Å
α = 79.47°, β = 79.47°, γ = 90.00°
Last column: magnetic moment on the atom in μB.
Sites, in units of the cell vectors:
1 Co 0.000 0.000 0.000  0.18
2 Co 0.750 0.250 0.500  0.18
3 Cu 0.875 0.867 0.750  0.00
4 B 0.250 0.750 0.500  -0.01
5 Cu 0.133 0.625 0.250  0.00
6 Cu 0.617 0.125 0.250  0.00
7 Cu 0.375 0.383 0.750  0.00
8 B 0.500 0.500 0.000  -0.01

The calculation puts the formation energy from the elements at 0.5964 eV/atom. The space-group type is I-42d, No. 122. As for the final energy: -4.898 eV/atom.

Entry from Alexandria: crystalline Co3CuB at its relaxed geometry (PBE).

a = 4.243 Å, b = 4.243 Å, c = 4.243 Å
α = 90.00°, β = 90.00°, γ = 90.00°
Last column: magnetic moment on the atom in μB.
Sites, in units of the cell vectors:
1 Cu 0.000 0.000 0.000  0.16
2 Co 0.000 0.000 0.500  2.19
3 Co 0.000 0.500 0.000  1.94
4 Co 0.500 0.000 0.000  1.50
5 B 0.500 0.500 0.500  -0.03

The calculation puts the formation energy from the elements at 2.0131 eV/atom. The space-group type is Pm-3m, No. 221. As for the final energy: -4.405 eV/atom. Its energy above the lowest structure with this stoichiometry is 1837.9 meV per atom.